Ni2BrO | GGA+U | relaxed

Magnetization in μB per atom: 0.75
ΔE to the lowest computed polymorph in eV per atom: 1.129
Crystal system: cubic

a b c (Å): 4.140 4.140 4.140
angles (deg): 60.00 60.00 60.00
Each line ends with the local moment (μB).
Fractional positions:
Ni  0.250  0.250  0.250  1.16
Ni  0.750  0.750  0.750  1.16
O  0.000  0.000  0.000  0.53
Br  0.500  0.500  0.500  0.21